This record from the Alexandria database describes ErNiAs2O8 after structural relaxation. The functional is GGA+U.

Properties
Symmetry: I-4m2 (119)
DOS(E_F) in states/eV per atom: 0.7089
VASP energy in eV/atom: -6.207

Cell: 5.845 5.845 5.845 Å, 107.00 107.00 114.55°
Each line ends with the local moment (μB).
Sites, in units of the cell vectors:
Er: 0.000 0.000 0.000  0.00
Ni: 0.250 0.750 0.500  1.87
As: 0.750 0.250 0.500  -0.01
As: 0.500 0.500 0.000  0.00
O: 0.388 0.073 0.315  0.13
O: 0.320 0.508 0.188  0.13
O: 0.320 0.132 0.812  0.13
O: 0.758 0.073 0.685  0.13
O: 0.868 0.680 0.188  0.13
O: 0.927 0.242 0.315  0.13
O: 0.927 0.612 0.685  0.13
O: 0.492 0.680 0.812  0.13